Here is Rb2FeIrO4 after structural relaxation from Alexandria. Energies are from PBE+U.

Values from the calculation:
VASP energy, eV/atom: -5.6222
Volume, Å³/cell: 1596

a b c (Å): 5.858 11.756 23.171
angles (deg): 90.00 90.00 90.00
Space group Fddd (No. 70, origin choice 2)
Unique sites:
Rb1 0.125 0.125 0.286
Fe1 0.125 0.125 0.125
Ir1 0.125 0.125 0.625
O1 0.114 0.364 0.932